Density functional theory data (GGA+U) for a relaxed KCaEuWO6 crystal.

The structure in CIF format:
```
data_KCaEuWO6
_chemical_formula_sum 'K4 Ca4 Eu4 W4 O24'
_cell_length_a 8.386
_cell_length_b 8.386
_cell_length_c 8.386
_cell_angle_alpha 90.00
_cell_angle_beta 90.00
_cell_angle_gamma 90.00
_symmetry_space_group_name_H-M 'F -4 3 m'
_symmetry_Int_Tables_number 216
_symmetry_space_group_name_Hall 'F -4 2 3'
loop_
_atom_site_label
_atom_site_fract_x
_atom_site_fract_y
_atom_site_fract_z
K1 0.000 0.000 0.000
Ca1 0.250 0.250 0.250
Eu1 0.000 0.000 0.500
W1 0.250 0.250 0.750
O1 0.019 0.250 0.750
```

Electronic total energy ... -7.366 eV/atom